The following is a DFT calculation (PBE) of crystalline FeHg2Pt at its relaxed geometry.

Properties
E_tot = -14.20 eV per formula unit

Unit cell a=5.586 b=5.586 c=4.902 alpha=107.49 beta=107.49 gamma=30.01
Sites, in units of the cell vectors:
Fe: 0.000 0.000 0.000
Hg: 0.534 0.534 0.522
Hg: 0.743 0.743 0.183
Pt: 0.301 0.301 0.727

=====

The following is a DFT calculation (PBE) of crystalline Rb4I3F12 at its relaxed geometry.

Properties
E_tot = -67.99 eV per formula unit
energy relative to the elements, uncorrected = -1.9482 eV/atom

Unit cell a=8.643 b=8.643 c=8.643 alpha=109.47 beta=109.47 gamma=109.47
Sites, in units of the cell vectors:
Rb: 0.000 0.000 0.500
Rb: 0.000 0.500 0.000
Rb: 0.500 0.000 0.000
Rb: 0.500 0.500 0.500
I: 0.000 0.500 0.500
I: 0.500 0.000 0.500
I: 0.500 0.500 0.000
F: 0.140 0.340 0.481
F: 0.140 0.660 0.800
F: 0.200 0.860 0.340
F: 0.340 0.200 0.860
F: 0.340 0.481 0.140
F: 0.481 0.140 0.340
F: 0.519 0.860 0.660
F: 0.660 0.519 0.860
F: 0.660 0.800 0.140
F: 0.800 0.140 0.660
F: 0.860 0.340 0.200
F: 0.860 0.660 0.519

=====

The following is a DFT calculation (PBE) of crystalline PrNd4Pt4 at its relaxed geometry.

Properties
E_tot = -56.59 eV per formula unit

Unit cell a=7.282 b=7.282 c=7.282 alpha=99.46 beta=99.46 gamma=132.17
Sites, in units of the cell vectors:
Pr: 0.000 0.000 0.000
Nd: 0.187 0.602 0.789
Nd: 0.398 0.187 0.585
Nd: 0.602 0.813 0.415
Nd: 0.813 0.398 0.211
Pt: 0.104 0.296 0.400
Pt: 0.296 0.896 0.192
Pt: 0.704 0.104 0.808
Pt: 0.896 0.704 0.600

=====

> The highest E_tot belongs to which entry?

FeHg2Pt

=====

> What is the E_tot in the first record?

-14.20 eV per formula unit